[1]
Below is a geometry-optimized Li2AlPd8 structure, with properties calculated at the PBE-GGA level.

Lattice parameters (Å, degrees): 4.115 6.940 6.993 119.75 107.11 90.00
Atoms (fractional coordinates):
Li (0.797, 0.297, 0.594)
Li (0.203, 0.703, 0.406)
Pd (0.000, 0.312, 0.000)
Pd (0.344, 0.127, 0.688)
Pd (0.656, 0.873, 0.312)
Pd (0.000, 0.688, 0.000)
Pd (0.656, 0.438, 0.312)
Pd (0.344, 0.562, 0.688)
Pd (0.859, 0.859, 0.719)
Pd (0.141, 0.141, 0.281)
Al (0.500, 0.000, 0.000)

Values from the calculation:
The value obtained for the magnetization is 0.0 Bohr magnetons per cell. As for the excess energy over the best structure of this formula in the dataset: 0.057 eV per atom. As for the volume: 163.1 Å³/cell. The calculation puts the calculated density at 9.083 g/cm3. For the formation energy from the elements, the calculation gives -3.66 eV/f.u.

---

[2]
Below is a geometry-optimized Sr2Hg2Te structure, with properties calculated at the PBE-GGA level.

Lattice parameters (Å, degrees): 8.595 8.595 4.445 90.00 90.00 90.00
Atoms (fractional coordinates):
Te (0.000, 0.000, 0.000)
Te (0.500, 0.500, 0.000)
Sr (0.178, 0.678, 0.500)
Sr (0.822, 0.322, 0.500)
Sr (0.322, 0.178, 0.500)
Sr (0.678, 0.822, 0.500)
Hg (0.622, 0.122, 0.000)
Hg (0.878, 0.622, 0.000)
Hg (0.378, 0.878, 0.000)
Hg (0.122, 0.378, 0.000)

Values from the calculation:
The value obtained for the magnetization is 0.0 Bohr magnetons per cell. As for the excess energy over the best structure of this formula in the dataset: 0.085 eV per atom. The uncorrected formation energy is -0.71 eV per atom. As for the volume: 328.4 Å³/cell. The calculation puts the calculated density at 7.120 g/cm3.

---

[3]
Below is a geometry-optimized AcAlZn4 structure, with properties calculated at the PBE-GGA level.

Lattice parameters (Å, degrees): 5.584 5.584 5.584 60.00 60.00 60.00
Atoms (fractional coordinates):
Al (0.250, 0.250, 0.250)
Zn (0.624, 0.624, 0.624)
Zn (0.624, 0.127, 0.624)
Zn (0.624, 0.624, 0.127)
Zn (0.127, 0.624, 0.624)
Ac (0.000, 0.000, 0.000)

Values from the calculation:
The value obtained for the magnetization is 0.0 Bohr magnetons per cell. As for the excess energy over the best structure of this formula in the dataset: 0.044 eV per atom. As for the volume: 123.1 Å³/cell. The calculation puts the calculated density at 6.955 g/cm3. For the formation energy from the elements, the calculation gives -0.42 eV/f.u.

---

[4]
Below is a geometry-optimized CePmMgIn structure, with properties calculated at the PBE-GGA level.

Lattice parameters (Å, degrees): 4.870 4.870 5.802 114.79 114.82 90.00
Atoms (fractional coordinates):
Ce (0.250, 0.750, 0.500)
In (0.000, 0.000, 0.000)
Mg (0.500, 0.500, 0.000)
Pm (0.750, 0.250, 0.500)

Values from the calculation:
The value obtained for the magnetization is 1.0 Bohr magnetons per cell. As for the excess energy over the best structure of this formula in the dataset: 0.007 eV per atom. As for the volume: 110.8 Å³/cell. The calculation puts the calculated density at 6.359 g/cm3. For the formation energy from the elements, the calculation gives -0.87 eV/f.u.

---

[5]
Below is a geometry-optimized ScCd2Cl structure, with properties calculated at the PBE-GGA level.

Lattice parameters (Å, degrees): 5.672 5.672 3.374 89.94 89.94 121.56
Atoms (fractional coordinates):
Cd (0.000, 0.000, 0.000)
Cd (0.500, 0.500, 0.000)
Sc (0.000, 0.500, 0.500)
Cl (0.500, 0.000, 0.500)

Values from the calculation:
The value obtained for the magnetization is 0.0 Bohr magnetons per cell. As for the excess energy over the best structure of this formula in the dataset: 0.196 eV per atom. The uncorrected formation energy is -0.39 eV per atom. As for the volume: 92.5 Å³/cell. The calculation puts the calculated density at 5.479 g/cm3.

---

[6]
Below is a geometry-optimized KZnW2Br structure, with properties calculated at the PBE-GGA level.

Lattice parameters (Å, degrees): 4.839 5.336 4.839 90.00 90.00 90.00
Atoms (fractional coordinates):
Zn (0.000, 0.500, 0.000)
W (0.000, 0.000, 0.500)
W (0.500, 0.000, 0.000)
K (0.000, 0.000, 0.000)
Br (0.500, 0.500, 0.500)

Values from the calculation:
The value obtained for the magnetization is 2.1 Bohr magnetons per cell. The uncorrected formation energy is 3.35 eV per atom. As for the volume: 124.9 Å³/cell. The calculation puts the calculated density at 7.338 g/cm3.

---

[7]
Below is a geometry-optimized TlTe3P3 structure, with properties calculated at the PBE-GGA level.

Lattice parameters (Å, degrees): 9.780 11.088 3.835 90.00 90.00 111.05
Atoms (fractional coordinates):
P (0.961, 0.876, 0.750)
P (0.778, 0.732, 0.250)
P (0.039, 0.124, 0.250)
P (0.889, 0.045, 0.750)
P (0.222, 0.268, 0.750)
P (0.111, 0.955, 0.250)
Te (0.613, 0.009, 0.250)
Te (0.589, 0.628, 0.750)
Te (0.411, 0.372, 0.250)
Te (0.080, 0.422, 0.750)
Te (0.387, 0.991, 0.750)
Te (0.920, 0.578, 0.250)
Tl (0.297, 0.685, 0.250)
Tl (0.703, 0.315, 0.750)

Values from the calculation:
The value obtained for the magnetization is 0.0 Bohr magnetons per cell. As for the excess energy over the best structure of this formula in the dataset: 0.000 eV per atom. The uncorrected formation energy is 0.09 eV per atom. As for the volume: 388.1 Å³/cell. The calculation puts the calculated density at 5.819 g/cm3.

---

[8]
Below is a geometry-optimized Pm3HgPt3 structure, with properties calculated at the PBE-GGA level.

Lattice parameters (Å, degrees): 5.765 8.893 8.893 120.00 90.00 90.00
Atoms (fractional coordinates):
Pt (0.250, 0.677, 0.654)
Pt (0.750, 0.654, 0.977)
Pt (0.750, 0.323, 0.346)
Pt (0.750, 0.023, 0.677)
Pt (0.250, 0.346, 0.023)
Pt (0.250, 0.977, 0.323)
Pm (0.250, 0.314, 0.346)
Pm (0.750, 0.686, 0.654)
Pm (0.250, 0.654, 0.968)
Pm (0.750, 0.968, 0.314)
Pm (0.750, 0.346, 0.032)
Pm (0.250, 0.032, 0.686)
Hg (0.250, 0.667, 0.333)
Hg (0.750, 0.333, 0.667)

Values from the calculation:
The value obtained for the magnetization is 0.0 Bohr magnetons per cell. As for the volume: 394.8 Å³/cell. The calculation puts the calculated density at 10.269 g/cm3. For the formation energy from the elements, the calculation gives -5.54 eV/f.u.

---

[9]
Below is a geometry-optimized KAsPd3 structure, with properties calculated at the PBE-GGA level.

Lattice parameters (Å, degrees): 4.813 4.813 4.813 90.00 90.00 90.00
Atoms (fractional coordinates):
Pd (0.000, 0.500, 0.000)
Pd (0.000, 0.000, 0.500)
Pd (0.500, 0.000, 0.000)
As (0.000, 0.000, 0.000)
K (0.500, 0.500, 0.500)

Values from the calculation:
The value obtained for the magnetization is 0.0 Bohr magnetons per cell. As for the excess energy over the best structure of this formula in the dataset: 0.155 eV per atom. As for the volume: 111.5 Å³/cell. The calculation puts the calculated density at 6.453 g/cm3. For the formation energy from the elements, the calculation gives -0.64 eV/f.u.

---

[10]
Below is a geometry-optimized MoP2Ru structure, with properties calculated at the PBE-GGA level.

Lattice parameters (Å, degrees): 4.837 4.837 4.837 144.80 115.60 75.56
Atoms (fractional coordinates):
Mo (0.250, 0.750, 0.500)
P (0.506, 0.506, 0.000)
P (0.994, 0.994, 0.000)
Ru (0.750, 0.250, 0.500)

Values from the calculation:
The value obtained for the magnetization is 0.0 Bohr magnetons per cell. As for the volume: 57.6 Å³/cell. The calculation puts the calculated density at 7.461 g/cm3. For the formation energy from the elements, the calculation gives 0.35 eV/f.u.

---

[11]
Below is a geometry-optimized BaSb2RuI structure, with properties calculated at the PBE-GGA level.

Lattice parameters (Å, degrees): 6.520 6.520 6.421 90.00 90.00 90.00
Atoms (fractional coordinates):
Sb (0.500, 0.000, 0.000)
Sb (0.000, 0.500, 0.000)
I (0.000, 0.000, 0.500)
Ru (0.500, 0.500, 0.500)
Ba (0.000, 0.000, 0.000)

Values from the calculation:
The value obtained for the magnetization is 1.6 Bohr magnetons per cell. As for the excess energy over the best structure of this formula in the dataset: 1.762 eV per atom. The uncorrected formation energy is 1.47 eV per atom. As for the volume: 272.9 Å³/cell. The calculation puts the calculated density at 3.704 g/cm3.

---

[12]
Below is a geometry-optimized CoTcSb2 structure, with properties calculated at the PBE-GGA level.

Lattice parameters (Å, degrees): 4.947 3.243 4.781 77.79 90.00 90.00
Atoms (fractional coordinates):
Co (0.500, 0.832, 0.720)
Sb (0.500, 0.454, 0.299)
Sb (0.000, 0.793, 0.957)
Tc (0.000, 0.420, 0.524)

Values from the calculation:
The value obtained for the magnetization is 0.2 Bohr magnetons per cell. As for the excess energy over the best structure of this formula in the dataset: 0.141 eV per atom. The uncorrected formation energy is 0.25 eV per atom. As for the volume: 75.0 Å³/cell. The calculation puts the calculated density at 8.872 g/cm3.

---

[13]
Below is a geometry-optimized TcMo4W4 structure, with properties calculated at the PBE-GGA level.

Lattice parameters (Å, degrees): 4.532 8.028 8.028 90.00 90.00 90.00
Atoms (fractional coordinates):
W (0.000, 0.319, 0.350)
W (0.000, 0.681, 0.650)
W (0.000, 0.350, 0.681)
W (0.000, 0.650, 0.319)
W (0.500, 0.819, 0.850)
W (0.500, 0.150, 0.819)
W (0.500, 0.850, 0.181)
W (0.500, 0.181, 0.150)
Tc (0.000, 0.000, 0.000)
Tc (0.500, 0.500, 0.500)
Mo (0.000, 0.986, 0.330)
Mo (0.000, 0.014, 0.670)
Mo (0.500, 0.514, 0.170)
Mo (0.500, 0.170, 0.486)
Mo (0.000, 0.670, 0.986)
Mo (0.500, 0.830, 0.514)
Mo (0.000, 0.330, 0.014)
Mo (0.500, 0.486, 0.830)

Values from the calculation:
The value obtained for the magnetization is 0.0 Bohr magnetons per cell. As for the volume: 292.1 Å³/cell. The calculation puts the calculated density at 13.838 g/cm3. For the formation energy from the elements, the calculation gives 3.20 eV/f.u.

---

[14]
Below is a geometry-optimized RbTiN2F structure, with properties calculated at the PBE-GGA level.

Lattice parameters (Å, degrees): 4.409 4.409 4.609 90.00 90.00 90.00
Atoms (fractional coordinates):
F (0.000, 0.000, 0.500)
N (0.500, 0.000, 0.000)
N (0.000, 0.500, 0.000)
Rb (0.000, 0.000, 0.000)
Ti (0.500, 0.500, 0.500)

Values from the calculation:
The value obtained for the magnetization is 0.0 Bohr magnetons per cell. As for the excess energy over the best structure of this formula in the dataset: 2.540 eV per atom. The uncorrected formation energy is 1.67 eV per atom. As for the volume: 89.6 Å³/cell. The calculation puts the calculated density at 3.342 g/cm3.

---

[15]
Below is a geometry-optimized PuNi4H8Pd structure, with properties calculated at the PBE-GGA level.

Lattice parameters (Å, degrees): 5.322 5.322 5.562 61.42 61.42 60.00
Atoms (fractional coordinates):
Ni (0.997, 0.509, 0.497)
Ni (0.628, 0.628, 0.117)
Ni (0.997, 0.997, 0.497)
Ni (0.509, 0.997, 0.497)
H (0.848, 0.239, 0.675)
H (0.738, 0.738, 0.289)
H (0.236, 0.738, 0.289)
H (0.239, 0.239, 0.675)
H (0.239, 0.848, 0.675)
H (0.214, 0.214, 0.359)
H (0.756, 0.756, 0.731)
H (0.738, 0.236, 0.289)
Pd (0.996, 0.996, 0.011)
Pu (0.368, 0.368, 0.897)

Values from the calculation:
The value obtained for the magnetization is 5.9 Bohr magnetons per cell. As for the volume: 113.7 Å³/cell. The calculation puts the calculated density at 8.661 g/cm3. As for the energy: -5.020 eV/atom.

---

[16]
Below is a geometry-optimized NiTe6Ir2 structure, with properties calculated at the PBE-GGA level.

Lattice parameters (Å, degrees): 5.454 11.858 11.858 120.00 90.00 90.00
Atoms (fractional coordinates):
Te (0.724, 0.451, 0.549)
Te (0.731, 0.785, 0.569)
Te (0.731, 0.785, 0.215)
Te (0.756, 0.110, 0.219)
Te (0.244, 0.890, 0.781)
Te (0.756, 0.781, 0.890)
Te (0.269, 0.215, 0.431)
Te (0.244, 0.890, 0.110)
Te (0.244, 0.219, 0.110)
Te (0.756, 0.110, 0.890)
Te (0.724, 0.098, 0.549)
Te (0.269, 0.215, 0.785)
Te (0.724, 0.451, 0.902)
Te (0.276, 0.549, 0.451)
Te (0.276, 0.549, 0.098)
Te (0.269, 0.569, 0.785)
Te (0.276, 0.902, 0.451)
Te (0.731, 0.431, 0.215)
Ir (0.000, 0.663, 0.663)
Ir (0.000, 0.337, 0.337)
Ir (0.000, 0.000, 0.337)
Ir (0.000, 0.000, 0.663)
Ir (0.000, 0.337, 0.000)
Ir (0.000, 0.663, 0.000)
Ni (0.505, 0.667, 0.333)
Ni (0.495, 0.333, 0.667)
Ni (0.000, 0.000, 0.000)

Values from the calculation:
The value obtained for the magnetization is 0.0 Bohr magnetons per cell. As for the excess energy over the best structure of this formula in the dataset: 0.000 eV per atom. The uncorrected formation energy is -0.20 eV per atom. As for the volume: 664.2 Å³/cell. The calculation puts the calculated density at 9.066 g/cm3.

---

[17]
Below is a geometry-optimized Re6Tc3Ru structure, with properties calculated at the PBE-GGA level.

Lattice parameters (Å, degrees): 5.065 7.813 8.065 90.00 90.13 90.00
Atoms (fractional coordinates):
Re (0.502, 0.844, 0.565)
Re (0.235, 0.392, 0.250)
Re (0.998, 0.344, 0.935)
Re (0.265, 0.892, 0.250)
Re (0.502, 0.842, 0.940)
Re (0.498, 0.156, 0.435)
Re (0.765, 0.608, 0.750)
Re (0.002, 0.656, 0.065)
Re (0.498, 0.158, 0.060)
Re (0.998, 0.342, 0.560)
Re (0.002, 0.658, 0.440)
Re (0.735, 0.108, 0.750)
Ru (0.000, 0.000, 0.000)
Ru (0.500, 0.500, 0.500)
Tc (0.000, 0.000, 0.500)
Tc (0.239, 0.614, 0.750)
Tc (0.500, 0.500, 0.000)
Tc (0.261, 0.114, 0.750)
Tc (0.739, 0.886, 0.250)
Tc (0.761, 0.386, 0.250)

Values from the calculation:
The value obtained for the magnetization is 0.0 Bohr magnetons per cell. As for the volume: 319.2 Å³/cell. The calculation puts the calculated density at 15.737 g/cm3. For the formation energy from the elements, the calculation gives 4.98 eV/f.u.